No. 1
Below is a relaxed structure of Ac2Cd5Pd, with properties calculated at the PBE level.

Unit cell a=4.7572 b=9.2987 c=10.2237 alpha=90.00 beta=90.00 gamma=104.82
Atoms (fractional coordinates):
Ac  0.8169  0.6338  0.7500
Ac  0.1831  0.3662  0.2500
Ac  0.0000  0.0000  0.0000
Ac  0.0000  0.0000  0.5000
Cd  0.1935  0.3871  0.8913
Cd  0.8065  0.6129  0.1087
Cd  0.1935  0.3871  0.6087
Cd  0.8065  0.6129  0.3913
Cd  0.3556  0.7111  0.9778
Cd  0.6444  0.2889  0.0222
Cd  0.3556  0.7111  0.5222
Cd  0.6444  0.2889  0.4778
Cd  0.5954  0.1908  0.7500
Cd  0.4046  0.8092  0.2500
Pd  0.4423  0.8846  0.7500
Pd  0.5577  0.1154  0.2500

Output
E_form   -363 meV per atom
Uncorrected energy   -2.61 eV/atom

No. 2
Below is a relaxed structure of AcCd5Pd3, with properties calculated at the PBE level.

Unit cell a=4.1756 b=7.5397 c=13.4631 alpha=90.00 beta=90.00 gamma=106.08
Atoms (fractional coordinates):
Ac  0.8401  0.6802  0.7500
Ac  0.1599  0.3198  0.2500
Cd  0.8024  0.6048  0.4517
Cd  0.1976  0.3952  0.9517
Cd  0.0000  0.0000  0.5000
Cd  0.0000  0.0000  0.0000
Cd  0.4297  0.8595  0.1455
Cd  0.5703  0.1405  0.8545
Cd  0.5703  0.1405  0.6455
Cd  0.8024  0.6048  0.0483
Cd  0.1976  0.3952  0.5483
Cd  0.4297  0.8595  0.3545
Pd  0.3874  0.7747  0.9261
Pd  0.8301  0.6601  0.2500
Pd  0.3874  0.7747  0.5739
Pd  0.6126  0.2253  0.4261
Pd  0.1699  0.3399  0.7500
Pd  0.6126  0.2253  0.0739

Output
E_form   -378 meV per atom
Uncorrected energy   -3.07 eV/atom

No. 3
Below is a relaxed structure of AcCd3Pd3, with properties calculated at the PBE level.

Unit cell a=4.5450 b=8.8987 c=8.8974 alpha=120.00 beta=90.00 gamma=90.00
Atoms (fractional coordinates):
Ac  0.7500  0.3333  0.6667
Ac  0.2500  0.6667  0.3333
Cd  0.7500  0.7725  0.0304
Cd  0.7500  0.2579  0.2275
Cd  0.7500  0.9696  0.7421
Cd  0.2500  0.2275  0.9696
Cd  0.2500  0.7421  0.7725
Cd  0.2500  0.0304  0.2579
Pd  0.7500  0.9490  0.3924
Pd  0.7500  0.4433  0.0510
Pd  0.7500  0.6076  0.5567
Pd  0.2500  0.0510  0.6076
Pd  0.2500  0.5567  0.9490
Pd  0.2500  0.3924  0.4433

Output
E_form   -483 meV per atom
Uncorrected energy   -3.69 eV/atom

No. 4
Below is a relaxed structure of Ac6Cd5Pd, with properties calculated at the PBE level.

Unit cell a=5.6880 b=8.0986 c=9.8470 alpha=65.72 beta=73.17 gamma=90.00
Atoms (fractional coordinates):
Ac  0.8418  0.6034  0.3168
Ac  0.8417  0.0798  0.3168
Ac  0.5000  0.7670  0.0000
Ac  0.5000  0.2330  0.0000
Ac  0.1583  0.9202  0.6832
Ac  0.1582  0.3966  0.6832
Pd  0.0000  0.0000  0.0000
Cd  0.6814  0.1815  0.6370
Cd  0.3327  0.3322  0.3357
Cd  0.0000  0.5000  0.0000
Cd  0.6673  0.6678  0.6643
Cd  0.3186  0.8185  0.3630

Output
E_form   -361 meV per atom
Uncorrected energy   -3.23 eV/atom